# Pu5Tc2Sn2

Pu5Tc2Sn2 after structural relaxation (GGA-PBE, the Alexandria database).

formation energy from the elements	0.02	eV per atom
mass density	13.1	g/cm3
final energy	-11.135	eV per atom

```
Pu5Tc2Sn2
1.0
6.548 -3.954 0.000
6.548 3.954 0.000
0.000 0.000 8.115
Pu Tc Sn
10 4 4
direct
0.000 0.000 0.000
0.097 0.638 0.734
0.138 0.597 0.234
0.362 0.903 0.734
0.403 0.862 0.234
0.500 0.500 0.500
0.597 0.138 0.766
0.638 0.097 0.266
0.862 0.403 0.766
0.903 0.362 0.266
0.111 0.889 0.385
0.389 0.611 0.885
0.611 0.389 0.115
0.889 0.111 0.615
0.248 0.248 0.000
0.252 0.252 0.500
0.748 0.748 0.500
0.752 0.752 0.000
```